Version one
Density functional theory data (PBE-GGA) for an optimized crystal structure of PrMg3Tl3.

## Properties
ρ, g/cm³: 4.22
Crystal system: cubic

Structure (CIF):
```
data_PrMg3Tl3
_chemical_formula_sum 'Pr8 Mg24 Tl24'
_cell_length_a 13.756
_cell_length_b 13.756
_cell_length_c 13.756
_cell_angle_alpha 90.00
_cell_angle_beta 90.00
_cell_angle_gamma 90.00
_space_group_name_H-M_alt 'F m -3 m'
_space_group_IT_number 225
_space_group_name_Hall '-F 4 2 3'
loop_
_atom_site_label
_atom_site_type_symbol
_atom_site_fract_x
_atom_site_fract_y
_atom_site_fract_z
Pr1 Pr 0.250 0.250 0.250
Mg1 Mg 0.000 0.000 0.150
Tl1 Tl 0.000 0.000 0.341
```

---

Version two
Density functional theory data (PBE-GGA) for an optimized crystal structure of PrMg3Tl3.

## Properties
ρ, g/cm³: 5.88
Crystal system: cubic

Structure (CIF):
```
data_PrMg3Tl3
_chemical_formula_sum 'Pr2 Mg6 Tl6'
_cell_length_a 7.759
_cell_length_b 7.759
_cell_length_c 7.759
_cell_angle_alpha 90.00
_cell_angle_beta 90.00
_cell_angle_gamma 90.00
_space_group_name_H-M_alt 'P m -3 n'
_space_group_IT_number 223
_space_group_name_Hall '-P 4n 2 3'
loop_
_atom_site_label
_atom_site_type_symbol
_atom_site_fract_x
_atom_site_fract_y
_atom_site_fract_z
Pr1 Pr 0.000 0.000 0.000
Mg1 Mg 0.000 0.250 0.500
Tl1 Tl 0.000 0.500 0.250
```

---

Name the most stable of them. version two.

---

Version one
Density functional theory data (PBE-GGA) for an optimized crystal structure of Pr8MgTl2.

## Properties
ρ, g/cm³: 7.06
Crystal system: monoclinic

Structure (CIF):
```
data_Pr8MgTl2
_chemical_formula_sum 'Pr16 Mg2 Tl4'
_cell_length_a 16.990
_cell_length_b 5.639
_cell_length_c 8.984
_cell_angle_alpha 90.00
_cell_angle_beta 121.50
_cell_angle_gamma 90.00
_space_group_name_H-M_alt 'C 1 2/m 1'
_space_group_IT_number 12
loop_
_space_group_symop_operation_xyz
'x,y,z'
'-x,-y,-z'
'-x,y,-z'
'x,-y,z'
'x+1/2,y+1/2,z'
'-x+1/2,-y+1/2,-z'
'-x+1/2,y+1/2,-z'
'x+1/2,-y+1/2,z'
loop_
_atom_site_label
_atom_site_type_symbol
_atom_site_fract_x
_atom_site_fract_y
_atom_site_fract_z
Pr1 Pr 0.068 0.000 0.223
Pr2 Pr 0.092 0.500 0.947
Pr3 Pr 0.136 0.000 0.686
Pr4 Pr 0.180 0.500 0.445
Mg1 Mg 0.000 0.500 0.500
Tl1 Tl 0.229 0.000 0.126
```

---

Version two
Density functional theory data (PBE-GGA) for an optimized crystal structure of Pr8MgTl2.

## Properties
ρ, g/cm³: 7.04
Crystal system: monoclinic

Structure (CIF):
```
data_Pr8MgTl2
_chemical_formula_sum 'Pr16 Mg2 Tl4'
_cell_length_a 18.651
_cell_length_b 5.412
_cell_length_c 7.402
_cell_angle_alpha 90.00
_cell_angle_beta 99.96
_cell_angle_gamma 90.00
_space_group_name_H-M_alt 'C 1 2/m 1'
_space_group_IT_number 12
loop_
_space_group_symop_operation_xyz
'x,y,z'
'-x,-y,-z'
'-x,y,-z'
'x,-y,z'
'x+1/2,y+1/2,z'
'-x+1/2,-y+1/2,-z'
'-x+1/2,y+1/2,-z'
'x+1/2,-y+1/2,z'
loop_
_atom_site_label
_atom_site_type_symbol
_atom_site_fract_x
_atom_site_fract_y
_atom_site_fract_z
Pr1 Pr 0.032 0.000 0.241
Pr2 Pr 0.092 0.500 0.949
Pr3 Pr 0.164 0.500 0.434
Pr4 Pr 0.180 0.000 0.771
Mg1 Mg 0.000 0.500 0.500
Tl1 Tl 0.208 0.000 0.213
```

---

Name the most stable of them. version one.

---

Version one
Density functional theory data (PBE-GGA) for an optimized crystal structure of Pr5Mg2Tl.

## Properties
ρ, g/cm³: 6.34
Crystal system: tetragonal

Structure (CIF):
```
data_Pr5Mg2Tl
_chemical_formula_sum 'Pr10 Mg4 Tl2'
_cell_length_a 7.919
_cell_length_b 7.919
_cell_length_c 7.998
_cell_angle_alpha 90.00
_cell_angle_beta 90.00
_cell_angle_gamma 90.00
_space_group_name_H-M_alt 'I 4 m m'
_space_group_IT_number 107
_space_group_name_Hall 'I 4 -2'
loop_
_atom_site_label
_atom_site_type_symbol
_atom_site_fract_x
_atom_site_fract_y
_atom_site_fract_z
Pr1 Pr 0.000 0.000 0.000
Pr2 Pr 0.250 0.250 0.249
Mg1 Mg 0.000 0.500 0.499
Tl1 Tl 0.000 0.000 0.499
```

---

Version two
Density functional theory data (PBE-GGA) for an optimized crystal structure of Pr5Mg2Tl.

## Properties
ρ, g/cm³: 6.07
Crystal system: tetragonal

Structure (CIF):
```
data_Pr5Mg2Tl
_chemical_formula_sum 'Pr20 Mg8 Tl4'
_cell_length_a 8.139
_cell_length_b 8.139
_cell_length_c 15.807
_cell_angle_alpha 90.00
_cell_angle_beta 90.00
_cell_angle_gamma 90.00
_space_group_name_H-M_alt 'I 4/m c m'
_space_group_IT_number 140
_space_group_name_Hall '-I 4 2c'
loop_
_atom_site_label
_atom_site_type_symbol
_atom_site_fract_x
_atom_site_fract_y
_atom_site_fract_z
Pr1 Pr 0.000 0.000 0.000
Pr2 Pr 0.163 0.337 0.158
Mg1 Mg 0.126 0.374 0.500
Tl1 Tl 0.000 0.000 0.250
```

---

Name the most stable of them. version one.

---

Version one
Density functional theory data (PBE-GGA) for an optimized crystal structure of PrTm2Mg4.

## Properties
ρ, g/cm³: 4.52
Crystal system: orthorhombic

Structure (CIF):
```
data_PrTm2Mg4
_chemical_formula_sum 'Pr2 Tm4 Mg8'
_cell_length_a 5.968
_cell_length_b 12.927
_cell_length_c 5.490
_cell_angle_alpha 90.00
_cell_angle_beta 90.00
_cell_angle_gamma 90.00
_space_group_name_H-M_alt 'C m m m'
_space_group_IT_number 65
_space_group_name_Hall '-C 2 2'
loop_
_atom_site_label
_atom_site_type_symbol
_atom_site_fract_x
_atom_site_fract_y
_atom_site_fract_z
Pr1 Pr 0.000 0.000 0.000
Tm1 Tm 0.000 0.371 0.500
Mg1 Mg 0.000 0.126 0.500
Mg2 Mg 0.000 0.254 0.000
```

---

Version two
Density functional theory data (PBE-GGA) for an optimized crystal structure of PrTm2Mg4.

## Properties
ρ, g/cm³: 4.52
Crystal system: tetragonal

Structure (CIF):
```
data_PrTm2Mg4
_chemical_formula_sum 'Pr2 Tm4 Mg8'
_cell_length_a 5.353
_cell_length_b 5.353
_cell_length_c 14.753
_cell_angle_alpha 90.00
_cell_angle_beta 90.00
_cell_angle_gamma 90.00
_space_group_name_H-M_alt 'I 4/m m m'
_space_group_IT_number 139
_space_group_name_Hall '-I 4 2'
loop_
_atom_site_label
_atom_site_type_symbol
_atom_site_fract_x
_atom_site_fract_y
_atom_site_fract_z
Pr1 Pr 0.000 0.000 0.000
Tm1 Tm 0.000 0.000 0.249
Mg1 Mg 0.000 0.500 0.122
```

---

Name the most stable of them. version two.